# 1
A relaxed MnN4 crystal. Source: the Alexandria database, functional PBE.

Computed properties:
* magnetic moment: 0.5 μB/cell
* energy relative to the elements, uncorrected: 2178 meV/atom

a = 3.704 Å, b = 3.704 Å, c = 3.704 Å
α = 90.00°, β = 90.00°, γ = 90.00°
Sites, in units of the cell vectors:
Mn1 0.000 0.000 0.000
N1 0.000 0.000 0.500
N2 0.000 0.500 0.000
N3 0.500 0.000 0.000
N4 0.500 0.500 0.500

# 2
A relaxed MnN crystal. Source: the Alexandria database, functional PBE.

Computed properties:
* magnetic moment: 2.9 μB/cell
* energy relative to the elements, uncorrected: -28 meV/atom

a = 3.002 Å, b = 2.695 Å, c = 4.912 Å
α = 90.00°, β = 90.24°, γ = 90.00°
Sites, in units of the cell vectors:
Mn1 0.000 0.000 0.000
Mn2 0.497 0.000 0.567
N1 0.499 0.500 0.856
N2 0.996 0.000 0.386

# 3
A relaxed MnN crystal. Source: the Alexandria database, functional PBE.

Computed properties:
* magnetic moment: 2.5 μB/cell
* energy relative to the elements, uncorrected: -204 meV/atom

a = 2.966 Å, b = 2.966 Å, c = 5.207 Å
α = 90.00°, β = 90.00°, γ = 120.00°
Sites, in units of the cell vectors:
Mn1 0.333 0.667 0.000
Mn2 0.667 0.333 0.500
N1 0.333 0.667 0.643
N2 0.667 0.333 0.143

# 4
A relaxed MnN crystal. Source: the Alexandria database, functional PBE.

Computed properties:
* magnetic moment: 2.9 μB/cell
* energy relative to the elements, uncorrected: -219 meV/atom

a = 5.841 Å, b = 5.279 Å, c = 4.850 Å
α = 70.28°, β = 58.30°, γ = 51.42°
Sites, in units of the cell vectors:
Mn1 0.013 0.013 0.737
Mn2 0.263 0.263 0.987
Mn3 0.737 0.737 0.013
Mn4 0.987 0.987 0.263
N1 0.064 0.686 0.064
N2 0.314 0.936 0.314
N3 0.686 0.064 0.686
N4 0.936 0.314 0.936

# 5
A relaxed MnN crystal. Source: the Alexandria database, functional PBE.

Computed properties:
* magnetic moment: 3.7 μB/cell
* energy relative to the elements, uncorrected: 21 meV/atom

a = 2.732 Å, b = 2.732 Å, c = 5.185 Å
α = 90.00°, β = 90.00°, γ = 120.00°
Sites, in units of the cell vectors:
Mn1 0.333 0.667 0.250
Mn2 0.667 0.333 0.750
N1 0.000 0.000 0.000
N2 0.000 0.000 0.500

# 6
A relaxed Mn3N2 crystal. Source: the Alexandria database, functional PBE.

Computed properties:
* magnetic moment: 8.2 μB/cell
* energy relative to the elements, uncorrected: -181 meV/atom

a = 6.338 Å, b = 6.338 Å, c = 6.338 Å
α = 153.89°, β = 153.89°, γ = 37.26°
Sites, in units of the cell vectors:
Mn1 0.000 0.000 0.000
Mn2 0.331 0.331 0.000
Mn3 0.669 0.669 0.000
N1 0.160 0.160 0.000
N2 0.840 0.840 0.000

# 7
A relaxed MnN crystal. Source: the Alexandria database, functional PBE.

Computed properties:
* magnetic moment: 6.6 μB/cell
* energy relative to the elements, uncorrected: -138 meV/atom

a = 5.245 Å, b = 5.245 Å, c = 3.095 Å
α = 90.00°, β = 90.00°, γ = 90.00°
Sites, in units of the cell vectors:
Mn1 0.176 0.176 0.000
Mn2 0.324 0.676 0.500
Mn3 0.676 0.324 0.500
Mn4 0.824 0.824 0.000
N1 0.183 0.817 0.000
N2 0.317 0.317 0.500
N3 0.683 0.683 0.500
N4 0.817 0.183 0.000

# 8
A relaxed Mn5N crystal. Source: the Alexandria database, functional PBE.

Computed properties:
* magnetic moment: 0.2 μB/cell
* energy relative to the elements, uncorrected: 475 meV/atom

a = 4.705 Å, b = 4.705 Å, c = 4.026 Å
α = 90.00°, β = 90.00°, γ = 135.33°
Sites, in units of the cell vectors:
Mn1 0.000 0.000 0.000
Mn2 0.142 0.858 0.500
Mn3 0.341 0.659 0.000
Mn4 0.659 0.341 0.000
Mn5 0.858 0.142 0.500
N1 0.500 0.500 0.500

# 9
A relaxed Mn23N6 crystal. Source: the Alexandria database, functional PBE.

Computed properties:
* magnetic moment: 13.4 μB/cell
* energy relative to the elements, uncorrected: -44 meV/atom

a = 7.359 Å, b = 7.359 Å, c = 7.359 Å
α = 60.00°, β = 60.00°, γ = 60.00°
Sites, in units of the cell vectors:
Mn1 0.000 0.000 0.000
Mn2 0.000 0.000 0.332
Mn3 0.000 0.000 0.668
Mn4 0.000 0.332 0.000
Mn5 0.000 0.332 0.668
Mn6 0.000 0.668 0.000
Mn7 0.000 0.668 0.332
Mn8 0.149 0.617 0.617
Mn9 0.250 0.250 0.250
Mn10 0.332 0.000 0.000
Mn11 0.332 0.000 0.668
Mn12 0.332 0.668 0.000
Mn13 0.383 0.383 0.383
Mn14 0.383 0.383 0.851
Mn15 0.383 0.851 0.383
Mn16 0.617 0.149 0.617
Mn17 0.617 0.617 0.149
Mn18 0.617 0.617 0.617
Mn19 0.668 0.000 0.000
Mn20 0.668 0.000 0.332
Mn21 0.668 0.332 0.000
Mn22 0.750 0.750 0.750
Mn23 0.851 0.383 0.383
N1 0.274 0.274 0.726
N2 0.274 0.726 0.274
N3 0.274 0.726 0.726
N4 0.726 0.274 0.274
N5 0.726 0.274 0.726
N6 0.726 0.726 0.274

# 10
A relaxed Mn3N2 crystal. Source: the Alexandria database, functional PBE.

Computed properties:
* magnetic moment: 2.2 μB/cell
* energy relative to the elements, uncorrected: -91 meV/atom

a = 3.040 Å, b = 3.040 Å, c = 5.904 Å
α = 90.00°, β = 90.00°, γ = 120.00°
Sites, in units of the cell vectors:
Mn1 0.000 0.000 0.000
Mn2 0.333 0.667 0.667
Mn3 0.667 0.333 0.333
N1 0.333 0.667 0.238
N2 0.667 0.333 0.762

# 11
A relaxed Mn3N2 crystal. Source: the Alexandria database, functional PBE.

Computed properties:
* magnetic moment: 9.7 μB/cell
* energy relative to the elements, uncorrected: -209 meV/atom

a = 5.334 Å, b = 5.334 Å, c = 5.334 Å
α = 53.90°, β = 53.90°, γ = 53.90°
Sites, in units of the cell vectors:
Mn1 0.071 0.750 0.429
Mn2 0.250 0.571 0.929
Mn3 0.429 0.071 0.750
Mn4 0.571 0.929 0.250
Mn5 0.750 0.429 0.071
Mn6 0.929 0.250 0.571
N1 0.155 0.155 0.155
N2 0.345 0.345 0.345
N3 0.655 0.655 0.655
N4 0.845 0.845 0.845

# 12
A relaxed MnN crystal. Source: the Alexandria database, functional PBE.

Computed properties:
* magnetic moment: 7.9 μB/cell
* energy relative to the elements, uncorrected: -159 meV/atom

a = 5.257 Å, b = 5.257 Å, c = 5.257 Å
α = 90.00°, β = 90.00°, γ = 90.00°
Sites, in units of the cell vectors:
Mn1 0.000 0.250 0.500
Mn2 0.000 0.750 0.500
Mn3 0.250 0.500 0.000
Mn4 0.500 0.000 0.250
Mn5 0.500 0.000 0.750
Mn6 0.750 0.500 0.000
N1 0.000 0.500 0.250
N2 0.000 0.500 0.750
N3 0.250 0.000 0.500
N4 0.500 0.250 0.000
N5 0.500 0.750 0.000
N6 0.750 0.000 0.500

# 13
A relaxed MnN crystal. Source: the Alexandria database, functional PBE.

Computed properties:
* magnetic moment: 1.2 μB/cell
* energy relative to the elements, uncorrected: -278 meV/atom

a = 3.037 Å, b = 3.037 Å, c = 3.037 Å
α = 60.00°, β = 60.00°, γ = 60.00°
Sites, in units of the cell vectors:
Mn1 0.000 0.000 0.000
N1 0.250 0.250 0.250

# 14
A relaxed NaMn3N crystal. Source: the Alexandria database, functional PBE.

Computed properties:
* magnetic moment: 7.2 μB/cell
* energy relative to the elements, uncorrected: 278 meV/atom

a = 3.965 Å, b = 3.965 Å, c = 3.965 Å
α = 90.00°, β = 90.00°, γ = 90.00°
Sites, in units of the cell vectors:
Na1 0.000 0.000 0.000
Mn1 0.000 0.500 0.500
Mn2 0.500 0.000 0.500
Mn3 0.500 0.500 0.000
N1 0.500 0.500 0.500

# 15
A relaxed NaMnN2 crystal. Source: the Alexandria database, functional PBE.

Computed properties:
* magnetic moment: 0.0 μB/cell
* energy relative to the elements, uncorrected: -249 meV/atom

a = 5.586 Å, b = 7.030 Å, c = 5.438 Å
α = 90.00°, β = 90.00°, γ = 90.00°
Sites, in units of the cell vectors:
Na1 0.089 0.123 0.000
Na2 0.411 0.623 0.500
Na3 0.589 0.377 0.000
Na4 0.911 0.877 0.500
Mn1 0.063 0.628 0.013
Mn2 0.437 0.128 0.513
Mn3 0.563 0.872 0.013
Mn4 0.937 0.372 0.513
N1 0.018 0.556 0.317
N2 0.132 0.183 0.459
N3 0.368 0.683 0.959
N4 0.482 0.056 0.817
N5 0.518 0.944 0.317
N6 0.632 0.317 0.459
N7 0.868 0.817 0.959
N8 0.982 0.444 0.817

# 16
A relaxed NaMn3N crystal. Source: the Alexandria database, functional PBE.

Computed properties:
* magnetic moment: 11.5 μB/cell
* energy relative to the elements, uncorrected: 2631 meV/atom

a = 4.804 Å, b = 4.804 Å, c = 4.804 Å
α = 90.00°, β = 90.00°, γ = 90.00°
Sites, in units of the cell vectors:
Na1 0.000 0.000 0.000
Mn1 0.000 0.000 0.500
Mn2 0.000 0.500 0.000
Mn3 0.500 0.000 0.000
N1 0.500 0.500 0.500

# 17
A relaxed Na3MnN2 crystal. Source: the Alexandria database, functional PBE.

Computed properties:
* magnetic moment: 0.0 μB/cell
* energy relative to the elements, uncorrected: -153 meV/atom

a = 5.586 Å, b = 5.586 Å, c = 6.048 Å
α = 90.00°, β = 90.00°, γ = 77.57°
Sites, in units of the cell vectors:
Na1 0.215 0.215 0.000
Na2 0.215 0.215 0.500
Na3 0.233 0.767 0.750
Na4 0.767 0.233 0.250
Na5 0.785 0.785 0.000
Na6 0.785 0.785 0.500
Mn1 0.362 0.638 0.250
Mn2 0.638 0.362 0.750
N1 0.121 0.879 0.250
N2 0.500 0.500 0.000
N3 0.500 0.500 0.500
N4 0.879 0.121 0.750

# 18
A relaxed NaMnN2 crystal. Source: the Alexandria database, functional PBE.

Computed properties:
* magnetic moment: 2.3 μB/cell
* energy relative to the elements, uncorrected: 934 meV/atom

a = 6.980 Å, b = 6.980 Å, c = 6.980 Å
α = 25.45°, β = 25.45°, γ = 25.45°
Sites, in units of the cell vectors:
Na1 0.000 0.000 0.000
Mn1 0.500 0.500 0.500
N1 0.417 0.417 0.417
N2 0.583 0.583 0.583

# 19
A relaxed NaMnN2 crystal. Source: the Alexandria database, functional PBE.

Computed properties:
* magnetic moment: 0.0 μB/cell
* energy relative to the elements, uncorrected: -238 meV/atom

a = 5.464 Å, b = 5.464 Å, c = 5.464 Å
α = 124.72°, β = 124.72°, γ = 82.00°
Sites, in units of the cell vectors:
Na1 0.000 0.000 0.000
Na2 0.750 0.250 0.500
Mn1 0.250 0.750 0.500
Mn2 0.500 0.500 0.000
N1 0.251 0.625 0.126
N2 0.375 0.501 0.626
N3 0.499 0.125 0.874
N4 0.875 0.749 0.374

# 20
A relaxed Na3Mn2N3 crystal. Source: the Alexandria database, functional PBE.

Computed properties:
* magnetic moment: 2.8 μB/cell
* energy relative to the elements, uncorrected: -206 meV/atom

a = 8.456 Å, b = 8.456 Å, c = 10.364 Å
α = 90.00°, β = 90.00°, γ = 158.45°
Sites, in units of the cell vectors:
Na1 0.093 0.907 0.590
Na2 0.093 0.907 0.910
Na3 0.388 0.612 0.750
Na4 0.612 0.388 0.250
Na5 0.907 0.093 0.090
Na6 0.907 0.093 0.410
Mn1 0.230 0.770 0.084
Mn2 0.230 0.770 0.416
Mn3 0.770 0.230 0.584
Mn4 0.770 0.230 0.916
N1 0.238 0.762 0.250
N2 0.320 0.680 0.529
N3 0.320 0.680 0.971
N4 0.680 0.320 0.029
N5 0.680 0.320 0.471
N6 0.762 0.238 0.750

# 21
A relaxed Na5Mn2N5 crystal. Source: the Alexandria database, functional PBE.

Computed properties:
* magnetic moment: 0.7 μB/cell
* energy relative to the elements, uncorrected: -127 meV/atom

a = 5.759 Å, b = 5.759 Å, c = 8.667 Å
α = 103.07°, β = 103.07°, γ = 31.80°
Sites, in units of the cell vectors:
Na1 0.000 0.000 0.000
Na2 0.166 0.166 0.586
Na3 0.276 0.276 0.873
Na4 0.724 0.724 0.127
Na5 0.834 0.834 0.414
Mn1 0.472 0.472 0.692
Mn2 0.528 0.528 0.308
N1 0.118 0.118 0.289
N2 0.398 0.398 0.160
N3 0.500 0.500 0.500
N4 0.602 0.602 0.840
N5 0.882 0.882 0.711

# 22
A relaxed NaMnN2 crystal. Source: the Alexandria database, functional PBE.

Computed properties:
* magnetic moment: 2.3 μB/cell
* energy relative to the elements, uncorrected: 800 meV/atom

a = 3.765 Å, b = 3.765 Å, c = 3.765 Å
α = 60.00°, β = 60.00°, γ = 60.00°
Sites, in units of the cell vectors:
Na1 0.000 0.000 0.000
Mn1 0.500 0.500 0.500
N1 0.250 0.250 0.250
N2 0.750 0.750 0.750

# 23
A relaxed NaMnN2 crystal. Source: the Alexandria database, functional PBE.

Computed properties:
* magnetic moment: 0.0 μB/cell
* energy relative to the elements, uncorrected: 361 meV/atom

a = 6.795 Å, b = 6.795 Å, c = 6.795 Å
α = 23.68°, β = 23.68°, γ = 23.68°
Sites, in units of the cell vectors:
Na1 0.000 0.000 0.000
Mn1 0.500 0.500 0.500
N1 0.111 0.111 0.111
N2 0.889 0.889 0.889